A relaxed structure of Nd4Cu3Pd. Source: Alexandria, functional PBE.

Cell and atoms, written as POSCAR:
```
Nd4Cu3Pd
1.0
3.929 0.000 0.000
0.000 4.553 0.000
0.000 0.000 10.784
Nd Cu Pd
4 3 1
Cartesian
0.000 0.000 0.000
0.000 2.277 3.014
1.964 0.000 5.374
1.964 2.277 8.397
0.000 2.277 6.101
1.964 0.000 2.220
1.964 2.277 0.771
0.000 0.000 7.691
```

## Properties
The raw total energy is -4.9038 eV per atom. As for the density of states at the Fermi level: 0.81 states/eV/atom. Its crystal system is orthorhombic.